This record from the Alexandria database describes a relaxed BaNiAgPb2 crystal. The functional is PBE-GGA.

## Properties
E	-3.695	eV per atom
formation energy from the elements	-0.100	eV/atom

```
5
Lattice="5.173 0.000 0.000 0.000 5.173 0.000 0.000 0.000 5.255" Properties=species:S:1:pos:R:3 pbc="T T T"
Ba 2.586 2.586 2.627
Pb 2.586 0.000 0.000
Pb 0.000 2.586 0.000
Ni 0.000 0.000 0.000
Ag 0.000 0.000 2.627
```